1.
# Lu4GeBiN2 | the Open Quantum Materials Database | PBE | optimized geometry
# VASP energy ... -6.5799 eV/atom
# Density ... 11.25 g/cm³
# SG ... P-6m2 (187)
data_Lu4GeBiN2
_space_group_name_H-M_alt 'P 1'
_space_group_IT_number 1
_space_group_name_Hall 'P 1'
_cell_length_a 3.455
_cell_length_b 3.455
_cell_length_c 14.409
_cell_angle_alpha 90.00
_cell_angle_beta 90.00
_cell_angle_gamma 120.00
loop_
_atom_site_label
_atom_site_type_symbol
_atom_site_fract_x
_atom_site_fract_y
_atom_site_fract_z
Bi1 Bi 0.667 0.333 0.000
Ge1 Ge 0.000 0.000 0.500
Lu1 Lu 0.000 0.000 0.173
Lu2 Lu 0.667 0.333 0.349
Lu3 Lu 0.667 0.333 0.651
Lu4 Lu 0.000 0.000 0.827
N1 N 0.333 0.667 0.258
N2 N 0.333 0.667 0.742

2.
# GdScPO | the Open Quantum Materials Database | PBE | optimized geometry
# VASP energy ... -7.4332 eV/atom
# Density ... 5.61 g/cm³
# SG ... P4/nmm (129)
data_GdScPO
_space_group_name_H-M_alt 'P 1'
_space_group_IT_number 1
_space_group_name_Hall 'P 1'
_cell_length_a 4.147
_cell_length_b 4.147
_cell_length_c 8.577
_cell_angle_alpha 90.00
_cell_angle_beta 90.00
_cell_angle_gamma 90.00
loop_
_atom_site_label
_atom_site_type_symbol
_atom_site_fract_x
_atom_site_fract_y
_atom_site_fract_z
Gd1 Gd 0.250 0.250 0.119
Gd2 Gd 0.750 0.750 0.881
O1 O 0.750 0.250 0.000
O2 O 0.250 0.750 0.000
P1 P 0.750 0.750 0.320
P2 P 0.250 0.250 0.680
Sc1 Sc 0.750 0.250 0.500
Sc2 Sc 0.250 0.750 0.500

3.
# ZrTaFeSi | the Open Quantum Materials Database | PBE | optimized geometry
# VASP energy ... -8.4414 eV/atom
# Density ... 9.41 g/cm³
# SG ... F-43m (216)
data_ZrTaFeSi
_space_group_name_H-M_alt 'P 1'
_space_group_IT_number 1
_space_group_name_Hall 'P 1'
_cell_length_a 4.462
_cell_length_b 4.462
_cell_length_c 4.462
_cell_angle_alpha 60.00
_cell_angle_beta 60.00
_cell_angle_gamma 60.00
loop_
_atom_site_label
_atom_site_type_symbol
_atom_site_fract_x
_atom_site_fract_y
_atom_site_fract_z
Fe1 Fe 0.750 0.750 0.750
Si1 Si 0.000 0.000 0.000
Ta1 Ta 0.250 0.250 0.250
Zr1 Zr 0.500 0.500 0.500

4.
# SmGd2Cd3Pt2Au | the Open Quantum Materials Database | PBE | optimized geometry
# VASP energy ... -4.3808 eV/atom
# Density ... 11.28 g/cm³
# ΔE_f ... -0.816 eV/atom
# SG ... Amm2 (38)
data_SmGd2Cd3Pt2Au
_space_group_name_H-M_alt 'P 1'
_space_group_IT_number 1
_space_group_name_Hall 'P 1'
_cell_length_a 3.948
_cell_length_b 7.743
_cell_length_c 7.743
_cell_angle_alpha 120.20
_cell_angle_beta 90.00
_cell_angle_gamma 90.00
loop_
_atom_site_label
_atom_site_type_symbol
_atom_site_fract_x
_atom_site_fract_y
_atom_site_fract_z
Au1 Au 0.500 0.002 0.002
Cd1 Cd 0.000 0.739 0.001
Cd2 Cd 0.000 0.261 0.261
Cd3 Cd 0.000 0.001 0.739
Gd1 Gd 0.500 0.410 0.001
Gd2 Gd 0.500 0.001 0.410
Pt1 Pt 0.000 0.667 0.330
Pt2 Pt 0.000 0.330 0.667
Sm1 Sm 0.500 0.590 0.590

5.
# MgZnSO | the Open Quantum Materials Database | PBE | optimized geometry
# VASP energy ... -4.1138 eV/atom
# Density ... 4.06 g/cm³
# SG ... Cmcm (63)
data_MgZnSO
_space_group_name_H-M_alt 'P 1'
_space_group_IT_number 1
_space_group_name_Hall 'P 1'
_cell_length_a 3.346
_cell_length_b 5.767
_cell_length_c 6.073
_cell_angle_alpha 90.00
_cell_angle_beta 74.01
_cell_angle_gamma 90.00
loop_
_atom_site_label
_atom_site_type_symbol
_atom_site_fract_x
_atom_site_fract_y
_atom_site_fract_z
Mg1 Mg 0.422 0.750 0.155
Mg2 Mg 0.578 0.250 0.845
O1 O 0.000 0.000 0.000
O2 O 0.000 0.500 0.000
S1 S 0.758 0.750 0.483
S2 S 0.242 0.250 0.517
Zn1 Zn 0.870 0.250 0.261
Zn2 Zn 0.130 0.750 0.739

6.
# LiDyNO | the Open Quantum Materials Database | PBE | optimized geometry
# VASP energy ... -6.4907 eV/atom
# Density ... 5.97 g/cm³
# SG ... Pmc2_1 (26)
data_LiDyNO
_space_group_name_H-M_alt 'P 1'
_space_group_IT_number 1
_space_group_name_Hall 'P 1'
_cell_length_a 4.027
_cell_length_b 4.457
_cell_length_c 6.182
_cell_angle_alpha 90.00
_cell_angle_beta 90.00
_cell_angle_gamma 90.00
loop_
_atom_site_label
_atom_site_type_symbol
_atom_site_fract_x
_atom_site_fract_y
_atom_site_fract_z
Dy1 Dy 0.500 0.939 0.208
Dy2 Dy 0.500 0.439 0.792
Li1 Li 0.000 0.441 0.315
Li2 Li 0.000 0.941 0.685
N1 N 0.000 0.935 0.363
N2 N 0.000 0.435 0.637
O1 O 0.500 0.439 0.154
O2 O 0.500 0.939 0.846

7.
# Ho2Tm2C3 | the Open Quantum Materials Database | PBE | optimized geometry
# VASP energy ... -6.8041 eV/atom
# Density ... 9.14 g/cm³
# SG ... C2/m (12)
data_Ho2Tm2C3
_space_group_name_H-M_alt 'P 1'
_space_group_IT_number 1
_space_group_name_Hall 'P 1'
_cell_length_a 6.682
_cell_length_b 6.682
_cell_length_c 6.022
_cell_angle_alpha 114.29
_cell_angle_beta 114.29
_cell_angle_gamma 31.72
loop_
_atom_site_label
_atom_site_type_symbol
_atom_site_fract_x
_atom_site_fract_y
_atom_site_fract_z
C1 C 0.000 0.000 0.000
C2 C 0.279 0.279 0.293
C3 C 0.721 0.721 0.707
Ho1 Ho 0.364 0.364 0.005
Ho2 Ho 0.636 0.636 0.995
Tm1 Tm 0.134 0.134 0.446
Tm2 Tm 0.866 0.866 0.554

8.
# Ni2SnPb | the Open Quantum Materials Database | PBE | optimized geometry
# VASP energy ... -4.5928 eV/atom
# Density ... 9.91 g/cm³
# SG ... Amm2 (38)
data_Ni2SnPb
_space_group_name_H-M_alt 'P 1'
_space_group_IT_number 1
_space_group_name_Hall 'P 1'
_cell_length_a 3.942
_cell_length_b 6.887
_cell_length_c 6.887
_cell_angle_alpha 52.62
_cell_angle_beta 90.00
_cell_angle_gamma 90.00
loop_
_atom_site_label
_atom_site_type_symbol
_atom_site_fract_x
_atom_site_fract_y
_atom_site_fract_z
Ni1 Ni 0.000 0.130 0.130
Ni2 Ni 0.500 0.840 0.378
Ni3 Ni 0.500 0.814 0.814
Ni4 Ni 0.500 0.378 0.840
Pb1 Pb 0.000 0.696 0.191
Pb2 Pb 0.000 0.191 0.696
Sn1 Sn 0.500 0.269 0.269
Sn2 Sn 0.000 0.682 0.682

9.
# YLuIn2Pt4 | the Open Quantum Materials Database | PBE | optimized geometry
# VASP energy ... -6.0530 eV/atom
# Density ... 13.05 g/cm³
# SG ... P-6m2 (187)
data_YLuIn2Pt4
_space_group_name_H-M_alt 'P 1'
_space_group_IT_number 1
_space_group_name_Hall 'P 1'
_cell_length_a 4.568
_cell_length_b 4.568
_cell_length_c 8.969
_cell_angle_alpha 90.00
_cell_angle_beta 90.00
_cell_angle_gamma 120.00
loop_
_atom_site_label
_atom_site_type_symbol
_atom_site_fract_x
_atom_site_fract_y
_atom_site_fract_z
In1 In 0.667 0.333 0.252
In2 In 0.667 0.333 0.748
Lu1 Lu 0.000 0.000 0.500
Pt1 Pt 0.000 0.000 0.162
Pt2 Pt 0.333 0.667 0.345
Pt3 Pt 0.333 0.667 0.655
Pt4 Pt 0.000 0.000 0.838
Y1 Y 0.333 0.667 0.000

10.
# LiGeOs | the Open Quantum Materials Database | PBE | optimized geometry
# VASP energy ... -5.5740 eV/atom
# Density ... 9.29 g/cm³
# SG ... F-43m (216)
data_LiGeOs
_space_group_name_H-M_alt 'P 1'
_space_group_IT_number 1
_space_group_name_Hall 'P 1'
_cell_length_a 4.085
_cell_length_b 4.085
_cell_length_c 4.085
_cell_angle_alpha 60.00
_cell_angle_beta 60.00
_cell_angle_gamma 60.00
loop_
_atom_site_label
_atom_site_type_symbol
_atom_site_fract_x
_atom_site_fract_y
_atom_site_fract_z
Ge1 Ge 0.250 0.250 0.250
Li1 Li 0.750 0.750 0.750
Os1 Os 0.000 0.000 0.000

11.
# LuNiBOs | the Open Quantum Materials Database | PBE | optimized geometry
# VASP energy ... -6.2419 eV/atom
# Density ... 12.45 g/cm³
# SG ... F-43m (216)
data_LuNiBOs
_space_group_name_H-M_alt 'P 1'
_space_group_IT_number 1
_space_group_name_Hall 'P 1'
_cell_length_a 4.344
_cell_length_b 4.344
_cell_length_c 4.344
_cell_angle_alpha 60.00
_cell_angle_beta 60.00
_cell_angle_gamma 60.00
loop_
_atom_site_label
_atom_site_type_symbol
_atom_site_fract_x
_atom_site_fract_y
_atom_site_fract_z
B1 B 0.000 0.000 0.000
Lu1 Lu 0.250 0.250 0.250
Ni1 Ni 0.750 0.750 0.750
Os1 Os 0.500 0.500 0.500

12.
# GaCu2Pd | the Open Quantum Materials Database | PBE | optimized geometry
# VASP energy ... -4.1766 eV/atom
# Density ... 9.34 g/cm³
# SG ... F-43m (216)
data_GaCu2Pd
_space_group_name_H-M_alt 'P 1'
_space_group_IT_number 1
_space_group_name_Hall 'P 1'
_cell_length_a 4.240
_cell_length_b 4.240
_cell_length_c 4.240
_cell_angle_alpha 60.00
_cell_angle_beta 60.00
_cell_angle_gamma 60.00
loop_
_atom_site_label
_atom_site_type_symbol
_atom_site_fract_x
_atom_site_fract_y
_atom_site_fract_z
Cu1 Cu 0.000 0.000 0.000
Cu2 Cu 0.750 0.750 0.750
Ga1 Ga 0.500 0.500 0.500
Pd1 Pd 0.250 0.250 0.250

13.
# Er2Nb | the Open Quantum Materials Database | PBE | optimized geometry
# VASP energy ... -5.5375 eV/atom
# Density ... 9.36 g/cm³
# ΔE_f ... 0.869 eV/atom
# SG ... Fd-3m (227)
data_Er2Nb
_space_group_name_H-M_alt 'P 1'
_space_group_IT_number 1
_space_group_name_Hall 'P 1'
_cell_length_a 5.985
_cell_length_b 5.985
_cell_length_c 5.985
_cell_angle_alpha 60.00
_cell_angle_beta 60.00
_cell_angle_gamma 60.00
loop_
_atom_site_label
_atom_site_type_symbol
_atom_site_fract_x
_atom_site_fract_y
_atom_site_fract_z
Er1 Er 0.625 0.625 0.125
Er2 Er 0.625 0.125 0.625
Er3 Er 0.125 0.625 0.625
Er4 Er 0.625 0.625 0.625
Nb1 Nb 0.000 0.000 0.000
Nb2 Nb 0.250 0.250 0.250